First-principles (PBE) data for an optimized crystal structure of ScIN, as listed in Alexandria via LeMat-Bulk.

Summary:
For the total energy, the calculation gives -6.525 eV/atom.

Cell lengths 3.7023, 3.7030, 11.2700 Å; angles 93.70, 96.01, 118.36 degrees
Last column: nearest neighbours and their distance in Å.
Fractional positions:
Sc 0.1955 0.1891 0.3823  4 N 2.20-2.28
Sc 0.8045 0.8109 0.6177  4 N 2.20-2.28
I 0.4438 0.7580 0.1960  3 Sc 2.97-3.03
I 0.5562 0.2420 0.8040  3 Sc 2.97-3.03
N 0.1056 0.4449 0.5518  1 N 1.52
N 0.8944 0.5551 0.4482  1 N 1.52

---

First-principles (PBE) data for an optimized crystal structure of Sc4I5N, as listed in Alexandria via LeMat-Bulk.

Summary:
For the total energy, the calculation gives -5.333 eV/atom.

Cell lengths 10.1907, 10.1907, 8.1492 Å; angles 101.51, 101.51, 21.33 degrees
Last column: nearest neighbours and their distance in Å.
Fractional positions:
Sc 0.0001 0.0001 0.1799  2 N 2.39
Sc 0.9999 0.9999 0.8201  2 N 2.39
Sc 0.3917 0.3917 0.9460  1 N 2.12
Sc 0.6083 0.6083 0.0540  1 N 2.12
I 0.1498 0.1498 0.3248  3 Sc 2.89-2.99
I 0.1498 0.1498 0.8242  3 Sc 2.90-2.99
I 0.5000 0.5000 0.5000  4 Sc 3.22
I 0.8502 0.8502 0.1758  3 Sc 2.90-2.99
I 0.8502 0.8502 0.6752  3 Sc 2.89-2.99
N 0.5000 0.5000 0.0000  2 Sc 2.12

---

First-principles (PBE) data for an optimized crystal structure of ScIN, as listed in Alexandria via LeMat-Bulk.

Summary:
For the total energy, the calculation gives -6.389 eV/atom.

Cell lengths 15.4617, 4.0954, 5.3122 Å; angles 90.00, 102.65, 90.00 degrees
Last column: nearest neighbours and their distance in Å.
Fractional positions:
Sc 0.0000 0.0000 0.0000  1 N 1.96
Sc 0.0426 0.5000 0.5380  4 N 2.11-2.26
Sc 0.5000 0.5000 0.0000  1 N 1.96
Sc 0.5426 0.0000 0.5380  4 N 2.11-2.26
I 0.1518 0.5000 0.1229  4 Sc 3.06-3.19
I 0.3717 0.0000 0.7574  3 Sc 2.94-3.11
I 0.6518 0.0000 0.1229  4 Sc 3.06-3.19
I 0.8717 0.5000 0.7574  3 Sc 2.94-3.11
N 0.0048 0.0000 0.3721  1 N 1.38
N 0.0435 0.0000 0.6324  1 N 1.38
N 0.5048 0.5000 0.3721  1 N 1.38
N 0.5435 0.5000 0.6324  1 N 1.38

---

First-principles (PBE) data for an optimized crystal structure of Sc2I2N, as listed in Alexandria via LeMat-Bulk.

Summary:
For the total energy, the calculation gives -6.106 eV/atom.

Cell lengths 6.2435, 3.6040, 11.3335 Å; angles 90.00, 102.04, 90.00 degrees
Last column: nearest neighbours and their distance in Å.
Fractional positions:
Sc 0.2054 0.0000 0.1026  3 N 2.37
Sc 0.2946 0.5000 0.8974  3 N 2.37
Sc 0.7054 0.5000 0.1026  3 N 2.37
Sc 0.7946 0.0000 0.8974  3 N 2.37
I 0.0580 0.0000 0.7128  3 Sc 2.92
I 0.4420 0.5000 0.2872  3 Sc 2.92
I 0.5580 0.5000 0.7128  3 Sc 2.92
I 0.9420 0.0000 0.2872  3 Sc 2.92
N 0.0000 0.5000 0.0000  6 Sc 2.37
N 0.5000 0.0000 0.0000  6 Sc 2.37

---

First-principles (PBE) data for an optimized crystal structure of ScIN, as listed in Alexandria via LeMat-Bulk.

Summary:
For the total energy, the calculation gives -6.575 eV/atom.

Cell lengths 6.0983, 4.2737, 10.5449 Å; angles 90.00, 90.28, 90.00 degrees
Last column: nearest neighbours and their distance in Å.
Fractional positions:
Sc 0.0000 0.0000 0.0000  4 N 2.19-2.26
Sc 0.0849 0.5000 0.2192  4 N 2.23-2.25
Sc 0.5000 0.5000 0.0000  4 N 2.19-2.26
Sc 0.5849 0.0000 0.2192  4 N 2.23-2.25
I 0.1298 0.5000 0.8104  3 Sc 3.01-3.03
I 0.2023 0.0000 0.4092  3 Sc 3.01-3.08, 2 N 3.32
I 0.6298 0.0000 0.8104  3 Sc 3.01-3.03
I 0.7023 0.5000 0.4092  3 Sc 3.01-3.08, 2 N 3.32
N 0.2974 0.1719 0.1075  1 N 1.47
N 0.2974 0.8281 0.1075  1 N 1.47
N 0.7974 0.3281 0.1075  1 N 1.47
N 0.7974 0.6719 0.1075  1 N 1.47

---

First-principles (PBE) data for an optimized crystal structure of ScI2N, as listed in Alexandria via LeMat-Bulk.

Summary:
For the total energy, the calculation gives -3.809 eV/atom.

Cell lengths 7.6577, 7.6577, 10.4957 Å; angles 90.00, 90.00, 90.00 degrees
Last column: nearest neighbours and their distance in Å.
Fractional positions:
Sc 0.0000 0.0000 0.0000  4 I 2.82
Sc 0.0000 0.5000 0.2500  4 I 2.82
Sc 0.5000 0.0000 0.7500  4 I 2.82
Sc 0.5000 0.5000 0.5000  4 I 2.82
I 0.2098 0.2500 0.1250  2 Sc 2.82
I 0.2500 0.7098 0.3750  2 Sc 2.82
I 0.2500 0.7902 0.8750  2 Sc 2.82
I 0.2902 0.2500 0.6250  2 Sc 2.82
I 0.7098 0.7500 0.6250  2 Sc 2.82
I 0.7500 0.2098 0.8750  2 Sc 2.82
I 0.7500 0.2902 0.3750  2 Sc 2.82
I 0.7902 0.7500 0.1250  2 Sc 2.82
N 0.0000 0.0000 0.5000  4 I 3.21
N 0.0000 0.5000 0.7500  4 I 3.21
N 0.5000 0.0000 0.2500  4 I 3.21
N 0.5000 0.5000 0.0000  4 I 3.21

---

First-principles (PBE) data for an optimized crystal structure of ScI3N, as listed in Alexandria via LeMat-Bulk.

Summary:
For the total energy, the calculation gives -4.128 eV/atom.

Cell lengths 5.6449, 7.6459, 10.1628 Å; angles 98.23, 90.67, 111.60 degrees
Last column: nearest neighbours and their distance in Å.
Fractional positions:
Sc 0.0734 0.1387 0.1916  1 N 2.03
Sc 0.9266 0.8613 0.8084  1 N 2.03
I 0.1303 0.2646 0.9371  2 Sc 2.87-2.96
I 0.2734 0.5346 0.3365  1 N 2.01
I 0.4561 0.9237 0.7416  2 Sc 2.95, 1 N 3.30
I 0.5439 0.0763 0.2584  2 Sc 2.95, 1 N 3.30
I 0.7266 0.4654 0.6635  1 N 2.01
I 0.8697 0.7354 0.0629  2 Sc 2.87-2.96
N 0.1441 0.2703 0.3838  1 I 2.01, 1 Sc 2.03
N 0.8559 0.7297 0.6162  1 I 2.01, 1 Sc 2.03

---

First-principles (PBE) data for an optimized crystal structure of ScIN, as listed in Alexandria via LeMat-Bulk.

Summary:
For the total energy, the calculation gives -6.161 eV/atom.

Cell lengths 3.1013, 3.1013, 6.6545 Å; angles 90.00, 90.00, 90.00 degrees
Last column: nearest neighbours and their distance in Å.
Fractional positions:
Sc 0.0000 0.0000 0.0000  4 N 2.19
I 0.0000 0.0000 0.5000  4 I 3.10, 2 Sc 3.33
N 0.5000 0.5000 0.0000  4 Sc 2.19

---

First-principles (PBE) data for an optimized crystal structure of ScIN3, as listed in Alexandria via LeMat-Bulk.

Summary:
For the total energy, the calculation gives -5.214 eV/atom.

Cell lengths 4.2355, 4.2355, 4.2355 Å; angles 90.00, 90.00, 90.00 degrees
Last column: nearest neighbours and their distance in Å.
Fractional positions:
Sc 0.0000 0.0000 0.0000  6 N 2.12
I 0.5000 0.5000 0.5000  12 N 2.99
N 0.0000 0.0000 0.5000  2 Sc 2.12
N 0.0000 0.5000 0.0000  2 Sc 2.12
N 0.5000 0.0000 0.0000  2 Sc 2.12

---

First-principles (PBE) data for an optimized crystal structure of ScI3N, as listed in Alexandria via LeMat-Bulk.

Summary:
For the total energy, the calculation gives -3.231 eV/atom.

Cell lengths 5.0460, 5.0460, 5.0460 Å; angles 90.00, 90.00, 90.00 degrees
Last column: nearest neighbours and their distance in Å.
Fractional positions:
Sc 0.0000 0.0000 0.0000  12 I 3.57
I 0.0000 0.5000 0.5000  2 N 2.52
I 0.5000 0.0000 0.5000  2 N 2.52
I 0.5000 0.5000 0.0000  2 N 2.52
N 0.5000 0.5000 0.5000  6 I 2.52

---

First-principles (PBE) data for an optimized crystal structure of ScIN, as listed in Alexandria via LeMat-Bulk.

Summary:
For the total energy, the calculation gives -6.581 eV/atom.

Cell lengths 6.1075, 4.3093, 10.5887 Å; angles 90.00, 96.52, 90.00 degrees
Last column: nearest neighbours and their distance in Å.
Fractional positions:
Sc 0.1842 0.0000 0.3917  4 N 2.21-2.25
Sc 0.3158 0.5000 0.6083  4 N 2.21-2.25
Sc 0.6842 0.5000 0.3917  4 N 2.21-2.25
Sc 0.8158 0.0000 0.6083  4 N 2.21-2.25
I 0.2250 0.0000 0.7975  3 Sc 3.02-3.04
I 0.2750 0.5000 0.2025  3 Sc 3.02-3.04
I 0.7250 0.5000 0.7975  3 Sc 3.02-3.04
I 0.7750 0.0000 0.2025  3 Sc 3.02-3.04
N 0.0000 0.3292 0.5000  1 N 1.47
N 0.0000 0.6708 0.5000  1 N 1.47
N 0.5000 0.1708 0.5000  1 N 1.47
N 0.5000 0.8292 0.5000  1 N 1.47

---

First-principles (PBE) data for an optimized crystal structure of ScI2N, as listed in Alexandria via LeMat-Bulk.

Summary:
For the total energy, the calculation gives -3.869 eV/atom.

Cell lengths 7.2549, 7.2549, 7.2549 Å; angles 90.00, 90.00, 90.00 degrees
Last column: nearest neighbours and their distance in Å.
Fractional positions:
Sc 0.0000 0.0000 0.0000  8 I 3.14
Sc 0.0000 0.5000 0.5000  8 I 3.14
Sc 0.5000 0.0000 0.5000  8 I 3.14
Sc 0.5000 0.5000 0.0000  8 I 3.14
I 0.2500 0.2500 0.2500  4 N 3.14, 4 Sc 3.14
I 0.2500 0.2500 0.7500  4 Sc 3.14, 4 N 3.14
I 0.2500 0.7500 0.2500  4 Sc 3.14, 4 N 3.14
I 0.2500 0.7500 0.7500  4 Sc 3.14, 4 N 3.14
I 0.7500 0.2500 0.2500  4 Sc 3.14, 4 N 3.14
I 0.7500 0.2500 0.7500  4 Sc 3.14, 4 N 3.14
I 0.7500 0.7500 0.2500  4 Sc 3.14, 4 N 3.14
I 0.7500 0.7500 0.7500  4 Sc 3.14, 4 N 3.14
N 0.0000 0.0000 0.5000  8 I 3.14
N 0.0000 0.5000 0.0000  8 I 3.14
N 0.5000 0.0000 0.0000  8 I 3.14
N 0.5000 0.5000 0.5000  8 I 3.14

---

First-principles (PBE) data for an optimized crystal structure of ScIN3, as listed in Alexandria via LeMat-Bulk.

Summary:
For the total energy, the calculation gives -5.365 eV/atom.

Cell lengths 3.9745, 3.9745, 3.9745 Å; angles 90.00, 90.00, 90.00 degrees
Last column: nearest neighbours and their distance in Å.
Fractional positions:
Sc 0.0000 0.0000 0.0000  12 N 2.81
I 0.5000 0.5000 0.5000  6 N 1.99
N 0.0000 0.5000 0.5000  2 I 1.99
N 0.5000 0.0000 0.5000  2 I 1.99
N 0.5000 0.5000 0.0000  2 I 1.99